(1)
# DySc5Zn4

A relaxed structure of DySc5Zn4 (PBE-GGA, Alexandria).

Computed properties:
**Space group**: P4/mmm (123)
**DOS at the Fermi energy**: 11.8 states/eV/f.u.
**Energy of formation**: -282 meV/atom
**Density**: 5217 kg/m3

Cell: 3.3565 3.3565 18.3351 Å, 90.00 90.00 90.00°
Element x y z (fractional)
Dy 0.0000 0.0000 0.0000
Sc 0.5000 0.5000 0.1356
Sc 0.5000 0.5000 0.3175
Sc 0.5000 0.5000 0.5000
Sc 0.5000 0.5000 0.6825
Sc 0.5000 0.5000 0.8644
Zn 0.0000 0.0000 0.2262
Zn 0.0000 0.0000 0.4077
Zn 0.0000 0.0000 0.5923
Zn 0.0000 0.0000 0.7738



(2)
# SmErTm2Tl2

A relaxed structure of SmErTm2Tl2 (PBE-GGA, Alexandria).

Computed properties:
**Space group**: Pmc2_1 (26)
**DOS at the Fermi energy**: 5.7 states/eV/f.u.
**Energy of formation**: -259 meV/atom
**Density**: 10315 kg/m3

Cell: 5.0828 6.7899 9.9285 Å, 90.00 90.00 90.00°
Element x y z (fractional)
Sm 0.0000 0.9602 0.4584
Sm 0.0000 0.4602 0.5416
Er 0.5000 0.1792 0.6924
Er 0.5000 0.6792 0.3076
Tm 0.5000 0.0515 0.0430
Tm 0.0000 0.3377 0.1831
Tm 0.5000 0.5515 0.9570
Tm 0.0000 0.8377 0.8169
Tl 0.0000 0.2978 0.8679
Tl 0.5000 0.2193 0.3623
Tl 0.0000 0.7978 0.1321
Tl 0.5000 0.7193 0.6377



(3)
# Nd3YHg2

A relaxed structure of Nd3YHg2 (PBE-GGA, Alexandria).

Computed properties:
**Energy relative to the lowest polymorph listed for this composition**: 0.00 eV/f.u.
**Space group**: Pmc2_1 (26)
**DOS at the Fermi energy**: 3.4 states/eV/f.u.
**Energy of formation**: -338 meV/atom
**Density**: 8500 kg/m3

Cell: 5.2831 7.1228 9.5818 Å, 90.00 90.00 90.00°
Element x y z (fractional)
Nd 0.0000 0.4861 0.9454
Nd 0.0000 0.9861 0.0546
Nd 0.5000 0.6749 0.1758
Nd 0.5000 0.1749 0.8242
Nd 0.0000 0.3233 0.3286
Nd 0.0000 0.8233 0.6714
Y 0.5000 0.5150 0.5528
Y 0.5000 0.0150 0.4472
Hg 0.5000 0.7303 0.8474
Hg 0.5000 0.2303 0.1526
Hg 0.0000 0.2705 0.6478
Hg 0.0000 0.7705 0.3522



(4)
# NaTbDy2S4

A relaxed structure of NaTbDy2S4 (PBE-GGA, Alexandria).

Computed properties:
**Space group**: P2/m (10)
**DOS at the Fermi energy**: 2.6 states/eV/f.u.
**Formation energy from raw total energies**: -1924 meV per atom
**Density**: 6113 kg/m3

Cell: 3.9131 6.8321 6.8297 Å, 70.90 90.00 90.00°
Element x y z (fractional)
Na 0.5000 0.5000 0.0000
Tb 0.0000 0.5000 0.5000
Dy 0.0000 0.0000 0.0000
Dy 0.5000 0.0000 0.5000
S 0.0000 0.7564 0.7449
S 0.0000 0.2436 0.2551
S 0.5000 0.7522 0.2495
S 0.5000 0.2478 0.7505